{"formula": "La2TeMo", "functional": "SCAN", "state": "PBEsol geometry", "total_energy_ev_per_cell": -159.3, "sg": "P4/mmm, No. 123", "crystal_system": "tetragonal", "raw_formation_energy_mev_per_atom": -246, "magnetic_moment_mub_per_fu": 0.7, "lattice_angstrom": [[-2.658, -0.461, 2.800], [-2.606, -1.122, -2.659], [2.007, -6.601, 0.819]], "species": ["La", "La", "Mo", "Te"], "fractional_positions": [[0.000, 0.000, 0.767], [0.000, 0.000, 0.233], [0.500, 0.500, 0.000], [0.500, 0.500, 0.500]]}

{"formula": "La2TeMo", "functional": "SCAN", "state": "PBEsol geometry", "total_energy_ev_per_cell": -158.6, "sg": "P4mm, No. 99", "crystal_system": "tetragonal", "raw_formation_energy_mev_per_atom": -73, "magnetic_moment_mub_per_fu": 0.0, "lattice_angstrom": [[3.503, 0.000, 0.000], [0.000, 3.503, 0.000], [0.000, 0.000, 8.723]], "species": ["La", "La", "Mo", "Te"], "fractional_positions": [[0.000, 0.000, 0.947], [0.500, 0.500, 0.313], [0.000, 0.000, 0.549], [0.500, 0.500, 0.692]]}